VASP calculation (PBE) on a geometry-optimized BPt2 structure.

Energy = -6.460 eV per atom
Space group = Fm-3m, No. 225

Lattice parameters (Å, degrees): 3.8226 3.8226 3.8226 60.00 60.00 60.00
Fractional coordinates of all 3 atoms:
B1 0.0000 0.0000 0.0000
Pt1 0.2500 0.2500 0.2500
Pt2 0.7500 0.7500 0.7500